1.
VASP calculation (PBE) on crystalline LaCu2SiP at its relaxed geometry.

a b c (Å): 5.673 5.673 5.673
angles (deg): 137.05 137.05 62.37
Atoms (fractional coordinates):
La: 0.000 0.000 0.000
Cu: 0.249 0.749 0.500
Cu: 0.749 0.249 0.500
Si: 0.371 0.371 0.000
P: 0.611 0.611 0.000

Calculated values
Final energy: -5.300 eV per atom
M_tot: 0.0 μB/cell
Symmetry: I4mm

=====

2.
VASP calculation (PBE) on crystalline LaPaCu at its relaxed geometry.

a b c (Å): 4.726 4.726 4.726
angles (deg): 60.00 60.00 60.00
Atoms (fractional coordinates):
La: 0.000 0.000 0.000
Pa: 0.750 0.750 0.750
Cu: 0.500 0.500 0.500

Calculated values
E above lowest polymorph: 0.0 meV per atom
M_tot: 1.0 μB/cell
Symmetry: F-43m
Energy of formation: 0.713 eV per atom

=====

3.
VASP calculation (PBE) on crystalline LaCuPb at its relaxed geometry.

a b c (Å): 4.680 4.680 8.196
angles (deg): 90.00 90.00 120.00
Atoms (fractional coordinates):
La: 0.000 0.000 0.000
La: 0.000 0.000 0.500
Cu: 0.333 0.667 0.250
Cu: 0.667 0.333 0.750
Pb: 0.333 0.667 0.750
Pb: 0.667 0.333 0.250

Calculated values
Final energy: -4.534 eV per atom
M_tot: 0.0 μB/cell
Symmetry: P6_3/mmc

=====

4.
VASP calculation (PBE) on crystalline La3Cu4Pb4 at its relaxed geometry.

a b c (Å): 8.869 8.869 8.869
angles (deg): 148.90 132.37 57.98
Atoms (fractional coordinates):
La: 0.000 0.000 0.000
La: 0.365 0.865 0.500
La: 0.635 0.135 0.500
Cu: 0.014 0.333 0.681
Cu: 0.348 0.667 0.681
Cu: 0.652 0.333 0.319
Cu: 0.986 0.667 0.319
Pb: 0.217 0.217 0.000
Pb: 0.295 0.500 0.795
Pb: 0.705 0.500 0.205
Pb: 0.783 0.783 0.000

Calculated values
Final energy: -4.388 eV per atom
M_tot: 0.0 μB/cell
Symmetry: Immm

=====

Q: Look up the M_tot of the fourth one.
A: 0.0 μB/cell

=====

Q: Which of these has the highest M_tot?
A: LaPaCu

=====

Q: The highest M_tot belongs to which entry?
A: LaPaCu